## TbPm4Hg (PBE-GGA)

Data for a relaxed TbPm4Hg crystal.

## Properties
- ΔH_f (0 K) (eV per atom) = -0.15
- density (kg/m3) = 8176
- energy above the most stable polymorph in this dataset (eV per atom) = 0.000
- symmetry = No. 123

a = 3.667 Å, b = 3.667 Å, c = 14.188 Å
α = 90.00°, β = 90.00°, γ = 90.00°
Atoms (fractional coordinates):
1 Hg 0.500 0.500 0.500
2 Pm 0.000 0.000 0.644
3 Pm 0.500 0.500 0.177
4 Pm 0.500 0.500 0.823
5 Pm 0.000 0.000 0.356
6 Tb 0.000 0.000 0.000

---

## Rb2Hg4Pb (PBE-GGA)

Data for a relaxed Rb2Hg4Pb crystal.

## Properties
- ΔH_f (0 K) (eV per atom) = -0.08
- density (kg/m3) = 5695
- symmetry = No. 139

a = 6.106 Å, b = 6.106 Å, c = 10.191 Å
α = 72.57°, β = 72.57°, γ = 90.00°
Atoms (fractional coordinates):
1 Hg 0.179 0.179 0.642
2 Hg 0.000 0.500 0.000
3 Hg 0.500 0.000 0.000
4 Hg 0.821 0.821 0.358
5 Rb 0.376 0.376 0.248
6 Rb 0.624 0.624 0.752
7 Pb 0.000 0.000 0.000

---

## Ag2AsCl2 (PBE-GGA)

Data for a relaxed Ag2AsCl2 crystal.

## Properties
- density (kg/m3) = 5735
- raw formation energy (kcal/mol of atoms) = 4.2
- energy above the most stable polymorph in this dataset (eV per atom) = 0.000
- symmetry = No. 127

a = 8.126 Å, b = 8.126 Å, c = 3.171 Å
α = 90.00°, β = 90.00°, γ = 90.00°
Atoms (fractional coordinates):
1 Ag 0.347 0.153 0.500
2 Ag 0.653 0.847 0.500
3 Ag 0.847 0.347 0.500
4 Ag 0.153 0.653 0.500
5 Cl 0.352 0.852 0.000
6 Cl 0.852 0.648 0.000
7 Cl 0.148 0.352 0.000
8 Cl 0.648 0.148 0.000
9 As 0.000 0.000 0.000
10 As 0.500 0.500 0.000